FeAsNF2 | PBE with a Hubbard U | optimized geometry

Unit cell a=3.843 b=3.843 c=4.384 alpha=90.00 beta=90.00 gamma=90.00
Fractional positions:
As  0.500  0.500  0.500
N  0.000  0.000  0.500
Fe  0.000  0.000  0.000
F  0.000  0.500  0.000
F  0.500  0.000  0.000

Results
Calculated total energy = -4.8376 eV per atom
N(E_F) = 0.87 states/eV/f.u.